Entry 1:
This record from Alexandria describes a relaxed structure of Mg2BeTe. The functional is PBE-GGA.

Output
Polymorph energy (0 for the lowest one)   17.1 kJ/mol of atoms
Formation energy from raw total energies   189 meV/atom
Space-group type   Cmmm (65)

abc: 4.833 4.833 3.748
angles: 89.93 89.93 106.46
Positions (direct):
1 Mg 0.500 0.500 0.000
2 Mg 0.000 0.000 0.000
3 Be 0.000 0.500 0.500
4 Te 0.500 0.000 0.500

***

Entry 2:
This record from Alexandria describes a relaxed structure of Ba2CeTlAu6. The functional is PBE-GGA.

Output
Space-group type   Fm-3m (225)
ΔE_f   -0.24 eV per atom

abc: 7.862 7.862 7.862
angles: 60.00 60.00 90.00
Last column: magnetic moment on the atom in μB.
Positions (direct):
1 Ce 0.500 0.500 0.000  0.64
2 Ba 0.250 0.750 0.500  0.01
3 Ba 0.750 0.250 0.500  0.01
4 Au 0.249 0.249 0.502  0.00
5 Au 0.751 0.751 0.498  0.00
6 Au 0.751 0.249 0.000  0.00
7 Au 0.249 0.751 0.000  0.00
8 Au 0.751 0.751 0.000  0.00
9 Au 0.249 0.249 0.000  0.00
10 Tl 0.000 0.000 0.000  0.00

***

Entry 3:
This record from Alexandria describes a relaxed structure of BaSrY2. The functional is PBE-GGA.

Output
Polymorph energy (0 for the lowest one)   14.1 kJ/mol of atoms
Space-group type   Cmmm (65)
ΔE_f   0.28 eV per atom

abc: 3.740 3.740 12.749
angles: 90.00 90.00 111.99
Positions (direct):
1 Y 0.000 0.000 0.505
2 Y 0.000 0.000 0.995
3 Ba 0.500 0.500 0.250
4 Sr 0.500 0.500 0.750

***

Entry 4:
This record from Alexandria describes a relaxed structure of KLaRe. The functional is PBE-GGA.

Output
Polymorph energy (0 for the lowest one)   4.1 kJ/mol of atoms
Space-group type   I4mm (107)
ΔE_f   0.99 eV per atom

abc: 7.807 7.807 7.807
angles: 152.65 152.65 39.06
Last column: magnetic moment on the atom in μB.
Positions (direct):
1 La 0.278 0.278 0.000  0.02
2 Re 0.694 0.694 0.000  0.83
3 K 0.027 0.027 0.000  0.00

***

Entry 5:
This record from Alexandria describes a relaxed structure of ThMgPt. The functional is PBE-GGA.

Output
Space-group type   Pmma (51)
ΔE_f   -0.84 eV per atom

abc: 4.022 7.660 13.652
angles: 90.00 90.00 90.00
Positions (direct):
1 Th 0.000 0.852 0.750
2 Th 0.000 0.232 0.954
3 Th 0.000 0.232 0.546
4 Th 0.000 0.148 0.250
5 Th 0.000 0.768 0.454
6 Th 0.000 0.768 0.046
7 Pt 0.000 0.444 0.750
8 Pt 0.500 0.063 0.400
9 Pt 0.500 0.937 0.600
10 Pt 0.000 0.556 0.250
11 Pt 0.500 0.937 0.900
12 Pt 0.500 0.063 0.100
13 Mg 0.500 0.563 0.874
14 Mg 0.500 0.437 0.126
15 Mg 0.500 0.207 0.750
16 Mg 0.500 0.437 0.374
17 Mg 0.500 0.563 0.626
18 Mg 0.500 0.793 0.250

***

Entry 6:
This record from Alexandria describes a relaxed structure of AcBSe2O8. The functional is PBE-GGA.

Output
Formation energy from raw total energies   -1422 meV/atom
Space-group type   C2/m (12)

abc: 4.431 5.855 9.471
angles: 116.37 76.47 67.76
Positions (direct):
1 Ac 0.500 0.500 0.500
2 O 0.222 0.179 0.376
3 O 0.068 0.001 0.862
4 O 0.202 0.359 0.723
5 O 0.932 0.999 0.138
6 O 0.284 0.641 0.277
7 O 0.778 0.821 0.624
8 O 0.798 0.641 0.277
9 O 0.716 0.359 0.723
10 B 0.000 0.000 0.000
11 Se 0.501 0.794 0.205
12 Se 0.499 0.206 0.795

***

Entry 7:
This record from Alexandria describes a relaxed structure of Er5Mg6. The functional is PBE-GGA.

Output
Space-group type   Immm (71)
ΔE_f   0.04 eV per atom

abc: 5.270 7.450 9.016
angles: 114.40 106.99 90.02
Positions (direct):
1 Er 0.000 0.500 0.000
2 Er 0.303 0.803 0.607
3 Er 0.697 0.197 0.393
4 Er 0.338 0.338 0.677
5 Er 0.662 0.662 0.323
6 Mg 0.499 0.211 0.000
7 Mg 0.145 0.935 0.289
8 Mg 0.855 0.646 0.711
9 Mg 0.855 0.065 0.711
10 Mg 0.501 0.789 0.000
11 Mg 0.145 0.354 0.289

***

Entry 8:
This record from Alexandria describes a relaxed structure of NdPd5Au2. The functional is PBE-GGA.

Output
Polymorph energy (0 for the lowest one)   0.0 kJ/mol of atoms
Space-group type   I4/mmm (139)
ΔE_f   -0.42 eV per atom

abc: 4.199 4.199 8.541
angles: 104.24 104.23 90.00
Positions (direct):
1 Pd 0.371 0.871 0.741
2 Pd 0.500 0.500 0.000
3 Pd 0.871 0.371 0.741
4 Pd 0.129 0.629 0.259
5 Pd 0.629 0.129 0.259
6 Au 0.251 0.252 0.503
7 Au 0.749 0.748 0.497
8 Nd 0.000 0.000 0.000

***

- What is the formula in the fourth record?
  KLaRe